ZnSb2Os: single point on PBEsol structure, meta-GGA SCAN.

Values from the calculation:
- SG = I-4m2, No. 119

a = 4.1069 Å, b = 4.1069 Å, c = 8.8381 Å
α = 90.00°, β = 90.00°, γ = 90.00°
Fractional positions:
Zn  0.0000  0.0000  0.0000
Zn  0.5000  0.5000  0.5000
Sb  0.0000  0.0000  0.5000
Sb  0.0000  0.5000  0.7500
Sb  0.5000  0.0000  0.2500
Sb  0.5000  0.5000  0.0000
Os  0.0000  0.5000  0.2500
Os  0.5000  0.0000  0.7500


KCuSn3: single point on PBEsol structure, meta-GGA SCAN.

Values from the calculation:
- energy relative to the elements (eV per atom) = 1.66
- SG = Pm-3m, No. 221

a = 5.7038 Å, b = 5.7038 Å, c = 5.7038 Å
α = 90.00°, β = 90.00°, γ = 90.00°
Fractional positions:
K  0.0000  0.0000  0.0000
Cu  0.5000  0.5000  0.5000
Sn  0.0000  0.0000  0.5000
Sn  0.0000  0.5000  0.0000
Sn  0.5000  0.0000  0.0000


Zr2ReAu: single point on PBEsol structure, meta-GGA SCAN.

Values from the calculation:
- energy relative to the elements (eV per atom) = -0.61
- SG = P4/mmm, No. 123

a = 3.3084 Å, b = 3.3084 Å, c = 6.7152 Å
α = 90.00°, β = 90.00°, γ = 90.00°
Fractional positions:
Zr  0.0000  0.0000  0.2336
Zr  0.0000  0.0000  0.7664
Re  0.5000  0.5000  0.0000
Au  0.5000  0.5000  0.5000


RbTaCu2Te4: single point on PBEsol structure, meta-GGA SCAN.

Values from the calculation:
- SG = Pna2_1, No. 33

a = 8.0823 Å, b = 20.1533 Å, c = 5.9123 Å
α = 90.00°, β = 90.00°, γ = 90.00°
Fractional positions:
Rb  0.2434  0.0636  0.0000
Rb  0.2566  0.5636  0.5000
Rb  0.7434  0.4364  0.0000
Rb  0.7566  0.9364  0.5000
Ta  0.2443  0.3545  0.7579
Ta  0.2557  0.8545  0.2579
Ta  0.7443  0.1455  0.7579
Ta  0.7557  0.6455  0.2579
Cu  0.0040  0.7509  0.2500
Cu  0.2447  0.3550  0.2582
Cu  0.2553  0.8550  0.7582
Cu  0.4960  0.2509  0.7500
Cu  0.5040  0.7491  0.2500
Cu  0.7447  0.1450  0.2582
Cu  0.7553  0.6450  0.7582
Cu  0.9960  0.2491  0.7500
Te  0.0094  0.1438  0.5019
Te  0.0200  0.6457  0.0015
Te  0.2405  0.4607  0.0104
Te  0.2461  0.2479  0.0212
Te  0.2539  0.7479  0.5212
Te  0.2595  0.9607  0.5104
Te  0.4800  0.1457  0.5015
Te  0.4906  0.6438  0.0019
Te  0.5094  0.3562  0.5019
Te  0.5200  0.8543  0.0015
Te  0.7405  0.0393  0.0104
Te  0.7461  0.2521  0.0212
Te  0.7539  0.7521  0.5212
Te  0.7595  0.5393  0.5104
Te  0.9800  0.3543  0.5015
Te  0.9906  0.8562  0.0019


Cr3HBr: single point on PBEsol structure, meta-GGA SCAN.

Values from the calculation:
- SG = Pm-3m, No. 221

a = 3.7843 Å, b = 3.7843 Å, c = 3.7843 Å
α = 90.00°, β = 90.00°, γ = 90.00°
Fractional positions:
Cr  0.0000  0.0000  0.5000
Cr  0.0000  0.5000  0.0000
Cr  0.5000  0.0000  0.0000
H  0.0000  0.0000  0.0000
Br  0.5000  0.5000  0.5000


K2Hg: single point on PBEsol structure, meta-GGA SCAN.

Values from the calculation:
- offset from the most stable computed form (eV per atom) = 0.0127
- energy relative to the elements (eV per atom) = -0.19
- SG = I4/mmm, No. 139

a = 4.1653 Å, b = 4.1653 Å, c = 15.1320 Å
α = 90.00°, β = 90.00°, γ = 90.00°
Fractional positions:
K  0.0000  0.0000  0.1333
K  0.0000  0.0000  0.8667
K  0.5000  0.5000  0.3667
K  0.5000  0.5000  0.6333
Hg  0.0000  0.0000  0.5000
Hg  0.5000  0.5000  0.0000


LiCaAs: single point on PBEsol structure, meta-GGA SCAN.

Values from the calculation:
- energy relative to the elements (eV per atom) = -1.19
- SG = Pnma, No. 62

a = 7.1636 Å, b = 4.2752 Å, c = 7.8438 Å
α = 90.00°, β = 90.00°, γ = 90.00°
Fractional positions:
Li  0.1477  0.2500  0.0681
Li  0.3523  0.7500  0.5681
Li  0.6477  0.2500  0.4319
Li  0.8523  0.7500  0.9319
Ca  0.0144  0.2500  0.6964
Ca  0.4856  0.7500  0.1964
Ca  0.5144  0.2500  0.8036
Ca  0.9856  0.7500  0.3036
As  0.2314  0.7500  0.8959
As  0.2686  0.2500  0.3959
As  0.7314  0.7500  0.6041
As  0.7686  0.2500  0.1041


TaCd2SnC: single point on PBEsol structure, meta-GGA SCAN.

Values from the calculation:
- energy relative to the elements (eV per atom) = 1.12
- SG = P4/mmm, No. 123

a = 5.4430 Å, b = 5.4430 Å, c = 3.9907 Å
α = 90.00°, β = 90.00°, γ = 90.00°
Fractional positions:
Ta  0.0000  0.0000  0.0000
Cd  0.0000  0.5000  0.0000
Cd  0.5000  0.0000  0.0000
Sn  0.5000  0.5000  0.5000
C  0.0000  0.0000  0.5000


Number 1: electronic total energy -39.245 eV per atom, calculated volume 18.63 A^3/atom. Number 2: electronic total energy -24.602 eV per atom, calculated volume 37.11 A^3/atom. Number 3: electronic total energy -51.027 eV per atom, calculated volume 18.38 A^3/atom. Number 4: electronic total energy -33.841 eV per atom, calculated volume 30.09 A^3/atom. Number 5: electronic total energy -14.799 eV per atom, calculated volume 10.84 A^3/atom. Number 6: electronic total energy -28.468 eV per atom, calculated volume 43.76 A^3/atom. Number 7: electronic total energy -11.936 eV per atom, calculated volume 20.02 A^3/atom. Number 8: electronic total energy -33.568 eV per atom, calculated volume 23.65 A^3/atom.